# MnZn5B2O10, optimized geometry, DFT PBE with a Hubbard U
# - Total magnetic moment: 3.1 μB/f.u.
# - ρ: 5.1 g/cm3
# - Energy: -212.52 eV per cell
# - V: 10.2 Å³/atom
data_MnZn5B2O10
_symmetry_space_group_name_H-M 'P m c 21'
_symmetry_Int_Tables_number 26
_symmetry_space_group_name_Hall 'P 2c -2'
_cell_length_a 3.0957
_cell_length_b 9.4752
_cell_length_c 12.4667
_cell_angle_alpha 90.00
_cell_angle_beta 90.00
_cell_angle_gamma 90.00
loop_
_atom_site_label
_atom_site_fract_x
_atom_site_fract_y
_atom_site_fract_z
Mn1 0.0000 0.0062 0.0000
Zn1 0.0000 0.2688 0.3777
Zn2 0.0000 0.4822 0.7623
Zn3 0.5000 0.2549 0.8826
Zn4 0.5000 0.2570 0.1619
Zn5 0.5000 0.2572 0.6034
B1 0.0000 0.0128 0.7472
B2 0.0000 0.4742 0.0200
O1 0.0000 0.0865 0.6501
O2 0.0000 0.0886 0.8439
O3 0.0000 0.1318 0.2457
O4 0.0000 0.3773 0.5207
O5 0.0000 0.3977 0.9257
O6 0.0000 0.4022 0.1166
O7 0.5000 0.1263 0.4704
O8 0.5000 0.1349 0.0258
O9 0.5000 0.3475 0.7400
O10 0.5000 0.3670 0.3027